ZnCo2IrC after structural relaxation. Source: Alexandria via LeMat-Bulk, functional PBE.

a = 3.791 Å, b = 3.791 Å, c = 4.009 Å
α = 90.00°, β = 90.00°, γ = 90.00°
Atoms (fractional coordinates):
Zn 0.000 0.000 0.000
Co 0.000 0.500 0.500
Co 0.500 0.000 0.500
Ir 0.500 0.500 0.000
C 0.500 0.500 0.500

Symmetry   P4/mmm
Final energy   -6.67 eV per atom
Crystal system   tetragonal
Energy relative to the elements   45 meV per atom

=====

YTiAlRe2 after structural relaxation. Source: Alexandria via LeMat-Bulk, functional PBE.

a = 4.822 Å, b = 4.822 Å, c = 4.915 Å
α = 90.00°, β = 90.00°, γ = 90.00°
Atoms (fractional coordinates):
Y 0.000 0.000 0.000
Ti 0.500 0.500 0.500
Al 0.000 0.000 0.500
Re 0.000 0.500 0.000
Re 0.500 0.000 0.000

Symmetry   P4/mmm
Final energy   -6.23 eV per atom
Crystal system   tetragonal
Energy relative to the elements   2371 meV per atom

=====

Be2InP after structural relaxation. Source: Alexandria via LeMat-Bulk, functional PBE.

a = 5.952 Å, b = 5.952 Å, c = 5.952 Å
α = 120.70°, β = 120.70°, γ = 88.80°
Atoms (fractional coordinates):
Be 0.045 0.625 0.920
Be 0.375 0.295 0.420
Be 0.705 0.125 0.080
Be 0.875 0.955 0.580
In 0.250 0.750 0.500
In 0.500 0.500 0.000
P 0.000 0.000 0.000
P 0.750 0.250 0.500

Symmetry   I-42d
Final energy   -3.67 eV per atom
Crystal system   tetragonal
ΔE to the lowest computed polymorph   80.9 meV/atom
Energy relative to the elements   227 meV per atom

=====

AlVP2Cl after structural relaxation. Source: Alexandria via LeMat-Bulk, functional PBE.

a = 4.769 Å, b = 4.769 Å, c = 4.407 Å
α = 90.00°, β = 90.00°, γ = 90.00°
Atoms (fractional coordinates):
Al 0.000 0.000 0.000
V 0.500 0.500 0.000
P 0.000 0.500 0.500
P 0.500 0.000 0.500
Cl 0.500 0.500 0.500

Symmetry   P4/mmm
Final energy   -4.00 eV per atom
Energy relative to the elements, uncorrected   1103 meV per atom
Crystal system   tetragonal
ΔE to the lowest computed polymorph   982.9 meV/atom

=====

Li2CuBr4 after structural relaxation. Source: Alexandria via LeMat-Bulk, functional PBE.

a = 6.723 Å, b = 7.517 Å, c = 7.851 Å
α = 90.00°, β = 90.05°, γ = 90.00°
Atoms (fractional coordinates):
Li 0.051 0.250 0.069
Li 0.337 0.250 0.657
Li 0.663 0.750 0.343
Li 0.949 0.750 0.931
Cu 0.367 0.750 0.688
Cu 0.633 0.250 0.312
Br 0.222 0.503 0.853
Br 0.222 0.997 0.853
Br 0.277 0.250 0.335
Br 0.288 0.750 0.395
Br 0.712 0.250 0.605
Br 0.723 0.750 0.665
Br 0.778 0.003 0.147
Br 0.778 0.497 0.147

Symmetry   P2_1/m
Final energy   -2.99 eV per atom
Energy relative to the elements, uncorrected   -906 meV per atom
Crystal system   monoclinic
ΔE to the lowest computed polymorph   47.9 meV/atom

=====

Ac4AlGe3 after structural relaxation. Source: Alexandria via LeMat-Bulk, functional PBE.

a = 4.277 Å, b = 4.789 Å, c = 11.940 Å
α = 90.00°, β = 90.00°, γ = 90.00°
Atoms (fractional coordinates):
Ac 0.000 0.000 0.000
Ac 0.000 0.500 0.495
Ac 0.500 0.000 0.278
Ac 0.500 0.500 0.783
Al 0.500 0.000 0.575
Ge 0.000 0.000 0.711
Ge 0.000 0.500 0.210
Ge 0.500 0.500 0.066

Symmetry   Pmm2
Final energy   -4.88 eV per atom
Crystal system   orthorhombic
Energy relative to the elements   -629 meV per atom

=====

MgNiN2 after structural relaxation. Source: Alexandria via LeMat-Bulk, functional PBE.

a = 5.516 Å, b = 5.516 Å, c = 5.516 Å
α = 131.55°, β = 131.55°, γ = 70.94°
Atoms (fractional coordinates):
Mg 0.000 0.000 0.000
Mg 0.750 0.250 0.500
Ni 0.250 0.750 0.500
Ni 0.500 0.500 0.000
N 0.173 0.625 0.048
N 0.375 0.423 0.548
N 0.577 0.125 0.952
N 0.875 0.827 0.452

Symmetry   I-42d
Final energy   -5.84 eV per atom
Energy relative to the elements, uncorrected   164 meV per atom
Crystal system   tetragonal

=====

VFeNi after structural relaxation. Source: Alexandria via LeMat-Bulk, functional PBE.

a = 4.525 Å, b = 4.525 Å, c = 4.525 Å
α = 141.53°, β = 141.53°, γ = 55.54°
Atoms (fractional coordinates):
V 0.000 0.000 0.000
Fe 0.655 0.655 0.000
Ni 0.330 0.330 0.000

Symmetry   I4mm
Final energy   -7.85 eV per atom
Crystal system   tetragonal
ΔE to the lowest computed polymorph   24.7 meV/atom
Energy relative to the elements   -64 meV per atom

=====

| no. | total magnetic moment (μB/cell) |
| --- | --- |
| 1 | 1.00 |
| 2 | 0.00 |
| 3 | 0.00 |
| 4 | 2.95 |
| 5 | 1.92 |
| 6 | 0.26 |
| 7 | 0.00 |
| 8 | 1.43 |